## NdGdCl (PBE)

Data for crystalline NdGdCl at its relaxed geometry.

The structure in extended XYZ format:
```
3
Lattice="-2.363 -2.382 -1.714 2.747 1.669 -1.965 4.390 -5.444 1.515" Properties=species:S:1:pos:R:3 pbc="T T T"
Cl 0.832 -2.882 -1.283
Nd 0.103 -0.128 0.036
Gd 3.839 -3.147 -0.917
```

Space group ... P3m1
Formation energy (no corrections) ... -88.9 kJ/mol of atoms
Raw total energy ... -7.820 eV/atom